VASP calculation (PBE-GGA) on a relaxed Er2PuZn crystal.

formation energy from the elements = 11.6 kJ/mol of formula units
distance to the lowest polymorph of the same formula = 10.9 kJ per mole of atoms
volume = 99 Å³ per cell
D(E_F) = 8.926 states/eV/cell

Unit cell a=3.537 b=5.289 c=5.289 alpha=90.00 beta=90.00 gamma=90.00
Sites, in units of the cell vectors:
Zn 0.500 0.000 0.000
Er 0.000 0.000 0.500
Er 0.000 0.500 0.000
Pu 0.500 0.500 0.500